DFT (GGA-PBE) results for a relaxed CoAgOs4 crystal.

symmetry	F-43m (216)
energy of formation from the pure elements	960	meV per atom
magnetic moment	3.08	μB/f.u.

Lattice parameters (Å, degrees): 5.1409 5.1409 5.1409 60.00 60.00 60.00
Atoms (fractional coordinates):
Co  0.0000  0.0000  0.0000
Ag  0.2500  0.2500  0.2500
Os  0.1244  0.6252  0.6252
Os  0.6252  0.1244  0.6252
Os  0.6252  0.6252  0.1244
Os  0.6252  0.6252  0.6252

---

DFT (GGA-PBE) results for a relaxed RbHf3Pd crystal.

symmetry	Pm-3m (221)
energy above the lowest structure with this stoichiometry	1.521	eV/atom
energy of formation from the pure elements	2305	meV per atom
magnetic moment	0.00	μB/f.u.

Lattice parameters (Å, degrees): 4.9471 4.9471 4.9471 90.00 90.00 90.00
Atoms (fractional coordinates):
Rb  0.0000  0.0000  0.0000
Hf  0.0000  0.0000  0.5000
Hf  0.0000  0.5000  0.0000
Hf  0.5000  0.0000  0.0000
Pd  0.5000  0.5000  0.5000